Record 1
Hg3GeB | PBE | relaxed

The structure belongs to space group Pm-3m (No. 221); the cell edges are 4.744, 4.744 and 4.744 Å and the angles 90.00°, 90.00° and 90.00°. The distinct sites, in fractional coordinates, are Hg at (0.000, 0.000, 0.500), Ge at (0.500, 0.500, 0.500) and B at (0.000, 0.000, 0.000).

The calculation puts the volume at 107 Å³/cell. The value obtained for the total magnetic moment is 0.0 μB/cell. The formation enthalpy at 0 K is 0.7508 eV per atom.

=====

Record 2
Y5Ho3Er | PBE | relaxed

The structure belongs to space group C2/c (No. 15); the cell edges are 16.102, 6.674 and 11.654 Å and the angles 90.00°, 107.97° and 90.00°. The distinct sites, in fractional coordinates, are Y at (0.000, 0.201, 0.250), Y at (0.183, 0.057, 0.949), Y at (0.216, 0.305, 0.266), Ho at (0.000, 0.000, 0.000), Ho at (0.107, 0.447, 0.515) and Er at (0.000, 0.305, 0.750).

The calculation puts the volume at 1191 Å³/cell. The value obtained for the total magnetic moment is 0.0 μB/cell. The formation enthalpy at 0 K is 0.2214 eV per atom.

=====

Record 3
Y3Er8Th4 | PBE | relaxed

The structure belongs to space group C2/m (No. 12); the cell edges are 13.328, 12.876 and 6.612 Å and the angles 90.00°, 119.41° and 90.00°. The distinct sites, in fractional coordinates, are Y at (0.000, 0.000, 0.000), Y at (0.250, 0.250, 0.000), Er at (0.000, 0.251, 0.000), Er at (0.000, 0.363, 0.500), Er at (0.237, 0.500, 0.507), Er at (0.241, 0.500, 0.998), Th at (0.000, 0.000, 0.500), Th at (0.000, 0.500, 0.000) and Th at (0.250, 0.250, 0.500).

The calculation puts the volume at 988 Å³/cell. The value obtained for the total magnetic moment is 0.0 μB/cell. The formation enthalpy at 0 K is 0.4444 eV per atom.

=====

Q: Number 1 is which compound?
A: Hg3GeB

=====

Q: Which of these has the highest formation enthalpy at 0 K?
A: Hg3GeB

=====

Q: Which of these has the highest formation enthalpy at 0 K?
A: Hg3GeB

=====

Q: What is the volume in the third record?
A: 988 Å³/cell